Entry 1:
## Li3TaS (PBE)

Data for an optimized crystal structure of Li3TaS.

Structure (POSCAR):
```
Li3TaS
1.0
5.118 0.000 0.000
0.000 5.118 0.000
0.000 0.000 5.118
Li Ta S
3 1 1
Direct
0.000 0.000 0.500
0.000 0.500 0.000
0.500 0.000 0.000
0.000 0.000 0.000
0.500 0.500 0.500
```

Results
Energy relative to the elements, uncorrected (eV per formula unit): 6.9
Polymorph energy (0 for the lowest one) (eV/f.u.): 4.81
Total moment (μB/atom): 0.800


Entry 2:
## Li2Ta3S6 (PBE)

Data for an optimized crystal structure of Li2Ta3S6.

Structure (POSCAR):
```
Li2Ta3S6
1.0
5.809 0.000 0.000
-2.905 5.031 0.000
0.000 0.000 13.025
Li Ta S
4 6 12
Direct
0.000 0.000 0.250
0.000 0.000 0.750
0.333 0.667 0.250
0.667 0.333 0.750
0.000 0.000 0.000
0.000 0.000 0.500
0.333 0.667 0.501
0.333 0.667 0.999
0.667 0.333 0.001
0.667 0.333 0.499
0.001 0.334 0.880
0.001 0.666 0.620
0.334 0.001 0.120
0.334 0.334 0.380
0.334 0.334 0.620
0.334 0.999 0.880
0.666 0.001 0.380
0.666 0.666 0.120
0.666 0.666 0.880
0.666 0.999 0.620
0.999 0.334 0.120
0.999 0.666 0.380
```

Results
Energy relative to the elements, uncorrected (eV per formula unit): -13.8
Total moment (μB/atom): 0.000


Entry 3:
## Li2Ta3S8 (PBE)

Data for an optimized crystal structure of Li2Ta3S8.

Structure (POSCAR):
```
Li2Ta3S8
1.0
6.223 -3.498 0.000
6.223 3.498 0.000
-0.650 0.000 6.074
Li Ta S
2 3 8
Direct
0.231 0.231 0.060
0.769 0.769 0.940
0.237 0.763 0.500
0.500 0.500 0.000
0.763 0.237 0.500
0.119 0.119 0.379
0.142 0.627 0.148
0.373 0.858 0.852
0.385 0.385 0.648
0.615 0.615 0.352
0.627 0.142 0.148
0.858 0.373 0.852
0.881 0.881 0.621
```

Results
Energy relative to the elements, uncorrected (eV per formula unit): -13.3
Total moment (μB/atom): 0.000